# MoPtF3, relaxed, DFT GGA-PBEsol
data_MoPtF3
_space_group_name_H-M_alt 'P m -3 m'
_space_group_IT_number 221
_space_group_name_Hall '-P 4 2 3'
_cell_length_a 4.2709
_cell_length_b 4.2709
_cell_length_c 4.2709
_cell_angle_alpha 90.00
_cell_angle_beta 90.00
_cell_angle_gamma 90.00
loop_
_atom_site_label
_atom_site_type_symbol
_atom_site_fract_x
_atom_site_fract_y
_atom_site_fract_z
Mo1 Mo 0.0000 0.0000 0.0000
Pt1 Pt 0.5000 0.5000 0.5000
F1 F 0.0000 0.5000 0.5000
# Total energy, eV/atom: -4.817
# Magnetization, μB/cell: 4.86
# ΔE_f (raw), meV/atom: 86

***

# NbPt3O, relaxed, DFT GGA-PBEsol
data_NbPt3O
_space_group_name_H-M_alt 'P m -3 m'
_space_group_IT_number 221
_space_group_name_Hall '-P 4 2 3'
_cell_length_a 4.8087
_cell_length_b 4.8087
_cell_length_c 4.8087
_cell_angle_alpha 90.00
_cell_angle_beta 90.00
_cell_angle_gamma 90.00
loop_
_atom_site_label
_atom_site_type_symbol
_atom_site_fract_x
_atom_site_fract_y
_atom_site_fract_z
Nb1 Nb 0.0000 0.0000 0.0000
Pt1 Pt 0.0000 0.0000 0.5000
O1 O 0.5000 0.5000 0.5000
# Total energy, eV/atom: -5.597
# Magnetization, μB/cell: 1.69
# ΔE_f (raw), meV/atom: 1795

***

# Na3BeRu, relaxed, DFT GGA-PBEsol
data_Na3BeRu
_space_group_name_H-M_alt 'P m -3 m'
_space_group_IT_number 221
_space_group_name_Hall '-P 4 2 3'
_cell_length_a 5.0203
_cell_length_b 5.0203
_cell_length_c 5.0203
_cell_angle_alpha 90.00
_cell_angle_beta 90.00
_cell_angle_gamma 90.00
loop_
_atom_site_label
_atom_site_type_symbol
_atom_site_fract_x
_atom_site_fract_y
_atom_site_fract_z
Na1 Na 0.0000 0.0000 0.5000
Be1 Be 0.0000 0.0000 0.0000
Ru1 Ru 0.5000 0.5000 0.5000
# Total energy, eV/atom: -2.090
# Magnetization, μB/cell: 1.90
# E_form, eV per formula unit: 7.92

***

# Pt3Au, relaxed, DFT GGA-PBEsol
data_Pt3Au
_space_group_name_H-M_alt 'P m m m'
_space_group_IT_number 47
_space_group_name_Hall '-P 2 2'
_cell_length_a 2.8000
_cell_length_b 3.9476
_cell_length_c 5.5908
_cell_angle_alpha 90.00
_cell_angle_beta 90.00
_cell_angle_gamma 90.00
loop_
_atom_site_label
_atom_site_type_symbol
_atom_site_fract_x
_atom_site_fract_y
_atom_site_fract_z
Pt1 Pt 0.0000 0.0000 0.0000
Pt2 Pt 0.5000 0.5000 0.2435
Au1 Au 0.0000 0.0000 0.5000
# Total energy, eV/atom: -6.146
# Magnetization, μB/cell: 0.00
# E_form, eV per formula unit: 0.23

***

# Pm2CdIn, relaxed, DFT GGA-PBEsol
data_Pm2CdIn
_space_group_name_H-M_alt 'F m -3 m'
_space_group_IT_number 225
_space_group_name_Hall '-F 4 2 3'
_cell_length_a 7.5520
_cell_length_b 7.5520
_cell_length_c 7.5520
_cell_angle_alpha 90.00
_cell_angle_beta 90.00
_cell_angle_gamma 90.00
loop_
_atom_site_label
_atom_site_type_symbol
_atom_site_fract_x
_atom_site_fract_y
_atom_site_fract_z
Pm1 Pm 0.2500 0.2500 0.2500
Cd1 Cd 0.0000 0.0000 0.0000
In1 In 0.0000 0.0000 0.5000
# Total energy, eV/atom: -4.059
# Magnetization, μB/cell: 0.01
# E_form, eV per formula unit: -1.78

***

# ReSbCl4, relaxed, DFT GGA-PBEsol
data_ReSbCl4
_space_group_name_H-M_alt 'F -4 3 m'
_space_group_IT_number 216
_space_group_name_Hall 'F -4 2 3'
_cell_length_a 7.9139
_cell_length_b 7.9139
_cell_length_c 7.9139
_cell_angle_alpha 90.00
_cell_angle_beta 90.00
_cell_angle_gamma 90.00
loop_
_atom_site_label
_atom_site_type_symbol
_atom_site_fract_x
_atom_site_fract_y
_atom_site_fract_z
Re1 Re 0.0000 0.0000 0.0000
Sb1 Sb 0.2500 0.2500 0.7500
Cl1 Cl 0.1259 0.1259 0.3741
# Total energy, eV/atom: -3.029
# Magnetization, μB/cell: 12.26
# ΔE_f (raw), meV/atom: 1291

***

# TiCu2HN, relaxed, DFT GGA-PBEsol
data_TiCu2HN
_space_group_name_H-M_alt 'P 4/m m m'
_space_group_IT_number 123
_space_group_name_Hall '-P 4 2'
_cell_length_a 3.6852
_cell_length_b 3.6852
_cell_length_c 4.0960
_cell_angle_alpha 90.00
_cell_angle_beta 90.00
_cell_angle_gamma 90.00
loop_
_atom_site_label
_atom_site_type_symbol
_atom_site_fract_x
_atom_site_fract_y
_atom_site_fract_z
Ti1 Ti 0.0000 0.0000 0.0000
Cu1 Cu 0.0000 0.5000 0.5000
H1 H 0.5000 0.5000 0.0000
N1 N 0.0000 0.0000 0.5000
# Total energy, eV/atom: -5.674
# Magnetization, μB/cell: 0.00

***

# Nb3AlCr8, relaxed, DFT GGA-PBEsol
data_Nb3AlCr8
_space_group_name_H-M_alt 'P 3 m 1'
_space_group_IT_number 156
_space_group_name_Hall 'P 3 -2"'
_cell_length_a 4.8167
_cell_length_b 4.8167
_cell_length_c 7.9111
_cell_angle_alpha 90.00
_cell_angle_beta 90.00
_cell_angle_gamma 120.00
loop_
_atom_site_label
_atom_site_type_symbol
_atom_site_fract_x
_atom_site_fract_y
_atom_site_fract_z
Nb1 Nb 0.0000 0.0000 0.0000
Nb2 Nb 0.0000 0.0000 0.3829
Nb3 Nb 0.6667 0.3333 0.5077
Al1 Al 0.6667 0.3333 0.8793
Cr1 Cr 0.1648 0.3296 0.6955
Cr2 Cr 0.3333 0.6667 0.4440
Cr3 Cr 0.3333 0.6667 0.9453
Cr4 Cr 0.5038 0.0075 0.1913
# Excess energy over the best structure of this formula in the dataset, eV/atom: 0.021
# Total energy, eV/atom: -9.925
# Magnetization, μB/cell: 0.00
# E_form, eV per formula unit: -0.60

***

# Pd3N, relaxed, DFT GGA-PBEsol
data_Pd3N
_space_group_name_H-M_alt 'P 63 2 2'
_space_group_IT_number 182
_space_group_name_Hall 'P 6c 2c'
_cell_length_a 5.0321
_cell_length_b 5.0321
_cell_length_c 4.7154
_cell_angle_alpha 90.00
_cell_angle_beta 90.00
_cell_angle_gamma 120.00
loop_
_atom_site_label
_atom_site_type_symbol
_atom_site_fract_x
_atom_site_fract_y
_atom_site_fract_z
Pd1 Pd 0.0000 0.3309 0.0000
N1 N 0.3333 0.6667 0.2500
# Total energy, eV/atom: -6.374
# Magnetization, μB/cell: 0.00
# ΔE_f (raw), meV/atom: 227

***

# ZrAsIr, relaxed, DFT GGA-PBEsol
data_ZrAsIr
_space_group_name_H-M_alt 'P -6 m 2'
_space_group_IT_number 187
_space_group_name_Hall 'P -6 2'
_cell_length_a 4.3236
_cell_length_b 4.3236
_cell_length_c 3.0251
_cell_angle_alpha 90.00
_cell_angle_beta 90.00
_cell_angle_gamma 120.00
loop_
_atom_site_label
_atom_site_type_symbol
_atom_site_fract_x
_atom_site_fract_y
_atom_site_fract_z
Zr1 Zr 0.0000 0.0000 0.0000
As1 As 0.3333 0.6667 0.5000
Ir1 Ir 0.6667 0.3333 0.5000
# Total energy, eV/atom: -8.893
# Magnetization, μB/cell: 0.00
# E_form, eV per formula unit: -2.66

***

# BeMo3Rh, relaxed, DFT GGA-PBEsol
data_BeMo3Rh
_space_group_name_H-M_alt 'P m -3 m'
_space_group_IT_number 221
_space_group_name_Hall '-P 4 2 3'
_cell_length_a 4.6027
_cell_length_b 4.6027
_cell_length_c 4.6027
_cell_angle_alpha 90.00
_cell_angle_beta 90.00
_cell_angle_gamma 90.00
loop_
_atom_site_label
_atom_site_type_symbol
_atom_site_fract_x
_atom_site_fract_y
_atom_site_fract_z
Be1 Be 0.0000 0.0000 0.0000
Mo1 Mo 0.0000 0.5000 0.5000
Rh1 Rh 0.5000 0.5000 0.5000
# Total energy, eV/atom: -7.475
# Magnetization, μB/cell: 0.00
# E_form, eV per formula unit: 10.06

***

# UGaRh, relaxed, DFT GGA-PBEsol
data_UGaRh
_space_group_name_H-M_alt 'P -6 2 m'
_space_group_IT_number 189
_space_group_name_Hall 'P -6 -2'
_cell_length_a 6.7181
_cell_length_b 6.7181
_cell_length_c 4.0606
_cell_angle_alpha 90.00
_cell_angle_beta 90.00
_cell_angle_gamma 120.00
loop_
_atom_site_label
_atom_site_type_symbol
_atom_site_fract_x
_atom_site_fract_y
_atom_site_fract_z
U1 U 0.0000 0.5754 0.0000
Ga1 Ga 0.0000 0.2381 0.5000
Rh1 Rh 0.0000 0.0000 0.0000
Rh2 Rh 0.3333 0.6667 0.5000
# Total energy, eV/atom: -8.347
# Magnetization, μB/cell: 4.90
# E_form, eV per formula unit: -1.40